1.
This record from Alexandria describes K2HoTc2N4 after structural relaxation. The functional is PBE-GGA.

Output
- Electronic total energy: -7.19 eV per atom

a b c (Å): 12.8926 3.4745 9.2207
angles (deg): 90.00 131.50 90.00
Space group C2/m (No. 12)
Asymmetric unit:
K 0.1571 0.0000 0.2574
Ho 0.0000 0.0000 0.5000
Tc 0.1494 0.5000 0.8709
N 0.0357 0.5000 0.3598
N 0.2105 0.0000 0.8267



2.
This record from Alexandria describes Al3CdN after structural relaxation. The functional is PBE-GGA.

Output
- Relative energy among the computed polymorphs: 0.0 kJ/mol of atoms

a b c (Å): 4.2105 4.2105 4.2105
angles (deg): 90.00 90.00 90.00
Space group Pm-3m (No. 221)
Asymmetric unit:
Al 0.0000 0.0000 0.5000
Cd 0.5000 0.5000 0.5000
N 0.0000 0.0000 0.0000



3.
This record from Alexandria describes Ta3AgO8 after structural relaxation. The functional is PBE-GGA.

Output
- Relative energy among the computed polymorphs: 2.0 kJ/mol of atoms

a b c (Å): 7.3699 10.6122 7.0216
angles (deg): 90.00 90.00 90.00
Space group Ibam (No. 72)
Asymmetric unit:
Ta 0.0000 0.0000 0.2500
Ta 0.2420 0.2328 0.0000
Ag 0.0000 0.5000 0.2500
O 0.0065 0.3237 0.5000
O 0.1189 0.0663 0.0000
O 0.1889 0.1456 0.2957



4.
This record from Alexandria describes CaBe3Pd after structural relaxation. The functional is PBE-GGA.

Output
- Relative energy among the computed polymorphs: 0.0 kJ/mol of atoms
- Calculated formation energy: 19 meV/atom

a b c (Å): 4.3409 4.3409 4.3409
angles (deg): 90.00 90.00 90.00
Space group Pm-3m (No. 221)
Asymmetric unit:
Ca 0.0000 0.0000 0.0000
Be 0.0000 0.5000 0.5000
Pd 0.5000 0.5000 0.5000



5.
This record from Alexandria describes AcMnFeGe3 after structural relaxation. The functional is PBE-GGA.

Output
- Calculated formation energy: -240 meV/atom

a b c (Å): 6.2257 11.3346 6.8481
angles (deg): 90.00 90.00 90.00
Space group Cmcm (No. 63)
Asymmetric unit:
Ac 0.0000 0.2456 0.2500
Mn 0.0000 0.4618 0.7500
Fe 0.0000 0.0657 0.7500
Ge 0.0000 0.2604 0.7500
Ge 0.2296 0.0000 0.0000



6.
This record from Alexandria describes SrHf2SbAs after structural relaxation. The functional is PBE-GGA.

Output
- Electronic total energy: -4.40 eV per atom

a b c (Å): 5.3438 5.3438 5.2344
angles (deg): 90.00 90.00 90.00
Space group P4/mmm (No. 123)
Asymmetric unit:
Sr 0.0000 0.0000 0.0000
Hf 0.0000 0.5000 0.0000
Sb 0.5000 0.5000 0.5000
As 0.0000 0.0000 0.5000



7.
This record from Alexandria describes La3Ge3Pd2 after structural relaxation. The functional is PBE-GGA.

Output
- Calculated formation energy: -933 meV/atom

a b c (Å): 4.4186 11.1256 15.7244
angles (deg): 90.00 90.00 90.00
Space group Cmcm (No. 63)
Asymmetric unit:
La 0.0000 0.0946 0.2500
La 0.0000 0.3683 0.0962
Ge 0.0000 0.0893 0.0483
Ge 0.0000 0.1926 0.7500
Pd 0.0000 0.3409 0.6175



8.
This record from Alexandria describes LiNd2SnSe5 after structural relaxation. The functional is PBE-GGA.

Output
- Electronic total energy: -4.96 eV per atom

a b c (Å): 4.1182 17.5412 12.3473
angles (deg): 90.00 90.00 90.00
Space group Cmc2_1 (No. 36)
Asymmetric unit:
Li 0.0000 0.0089 0.0000
Nd 0.0000 0.3811 0.8101
Nd 0.0000 0.3885 0.1958
Sn 0.0000 0.3070 0.5115
Se 0.0000 0.0073 0.8007
Se 0.0000 0.1404 0.5084
Se 0.0000 0.2036 0.8438
Se 0.0000 0.2148 0.1741
Se 0.0000 0.4536 0.5860



9.
This record from Alexandria describes LiYGaH2 after structural relaxation. The functional is PBE-GGA.

Output
- Electronic total energy: -3.52 eV per atom

a b c (Å): 4.0049 4.0049 4.6998
angles (deg): 90.00 90.00 90.00
Space group P4/mmm (No. 123)
Asymmetric unit:
Li 0.0000 0.0000 0.0000
Y 0.5000 0.5000 0.5000
Ga 0.0000 0.0000 0.5000
H 0.0000 0.5000 0.0000



| no. | magnetic moment (μB per cell) | N(E_F) (states/eV per cell) |
| --- | --- | --- |
| 1 | 0.00 | 6.2 |
| 2 | 0.00 | 2.2 |
| 3 | 0.00 | 0.0 |
| 4 | 0.00 | 0.3 |
| 5 | 8.06 | 13.3 |
| 6 | 0.00 | 3.8 |
| 7 | 0.00 | 19.8 |
| 8 | 0.00 | 11.6 |
| 9 | 0.00 | 2.4 |